Arrangement P

VASP calculation (GGA-PBE) on Cu5O7 after structural relaxation.

Cell lengths 2.8667, 4.9966, 8.7383 Å; angles 76.16, 80.56, 73.33 degrees
Atoms (fractional coordinates):
O1 0.2722 0.0781 0.3775
Cu1 0.1079 0.2058 0.5785
O2 0.6653 0.7516 0.9178
O3 0.7278 0.9219 0.6225
Cu2 0.8921 0.7942 0.4215
Cu3 0.3105 0.5483 0.8306
Cu4 0.6895 0.4517 0.1694
O4 0.0463 0.6998 0.2077
O5 0.3347 0.2484 0.0822
O6 0.5000 0.5000 0.5000
Cu5 0.0000 0.0000 0.0000
O7 0.9537 0.3002 0.7923


Arrangement Q

VASP calculation (GGA-PBE) on Cu5O7 after structural relaxation.

Cell lengths 5.1517, 5.1517, 17.7260 Å; angles 90.00, 90.00, 147.03 degrees
Atoms (fractional coordinates):
Cu1 0.0000 0.0000 0.0000
Cu2 0.4606 0.5394 0.1551
O1 0.3582 0.6418 0.4763
O2 0.3582 0.6418 0.0237
Cu3 0.0000 0.0000 0.5000
Cu4 0.7290 0.2710 0.0760
O3 0.1659 0.8341 0.6625
O4 0.0761 0.9239 0.3975
O5 0.6418 0.3582 0.9763
Cu5 0.5394 0.4606 0.6551
Cu6 0.5394 0.4606 0.8449
O6 0.6418 0.3582 0.5237
Cu7 0.4606 0.5394 0.3449
O7 0.9239 0.0761 0.8975
O8 0.0761 0.9239 0.1025
Cu8 0.2710 0.7290 0.5760
Cu9 0.7290 0.2710 0.4240
O9 0.9239 0.0761 0.6025
O10 0.8341 0.1659 0.1625
O11 0.8341 0.1659 0.3375
O12 0.4569 0.5431 0.7500
O13 0.5431 0.4569 0.2500
O14 0.1659 0.8341 0.8375
Cu10 0.2710 0.7290 0.9240


Stability, descending: arrangement P, arrangement Q